V3HPb5O13 | PBE+U | optimized geometry

CIF file:
```
data_V3HPb5O13
_chemical_formula_sum 'V6 H2 Pb10 O26'
_cell_length_a 10.4506
_cell_length_b 10.4506
_cell_length_c 7.4942
_cell_angle_alpha 90.00
_cell_angle_beta 90.00
_cell_angle_gamma 120.00
_space_group_name_H-M_alt 'P 63'
_space_group_IT_number 173
loop_
_space_group_symop_operation_xyz
'x,y,z'
'x-y,x,z+1/2'
'-y,x-y,z'
'-x,-y,z+1/2'
'-x+y,-x,z'
'y,-x+y,z+1/2'
loop_
_atom_site_label
_atom_site_type_symbol
_atom_site_fract_x
_atom_site_fract_y
_atom_site_fract_z
V1 V 0.0284 0.4035 0.0000
H1 H 0.0000 0.0000 0.1794
Pb1 Pb 0.0162 0.7608 0.0069
Pb2 Pb 0.3333 0.6667 0.2589
Pb3 Pb 0.3333 0.6667 0.7413
O1 O 0.0000 0.0000 0.0489
O2 O 0.0840 0.3423 0.8149
O3 O 0.0898 0.3455 0.1824
O4 O 0.1271 0.5979 0.9998
O5 O 0.1619 0.6632 0.5024
```

## Properties
**Raw total energy**: -143.70 eV/f.u.
**Volume**: 709 Å³ per cell